Record 1
A plane-wave DFT calculation with PBE was carried out for an optimized crystal structure of KAlCd2B.

Cell lengths 5.6273, 5.6273, 4.1317 Å; angles 90.00, 90.00, 90.00 degrees
Last column: nearest neighbours and their distance in Å.
Fractional positions:
K 0.0000 0.0000 0.0000  8 Cd 3.49
Al 0.5000 0.5000 0.5000  2 B 2.07
Cd 0.0000 0.5000 0.5000  2 Al 2.81
Cd 0.5000 0.0000 0.5000  2 Al 2.81
B 0.5000 0.5000 0.0000  2 Al 2.07

Calculated values
- Calculated total energy: -2.109 eV per atom
- Calculated formation energy: 0.560 eV per atom


Record 2
A plane-wave DFT calculation with PBE was carried out for an optimized crystal structure of K2AlCdB.

Cell lengths 6.5743, 6.5743, 5.0224 Å; angles 90.00, 90.00, 90.00 degrees
Last column: nearest neighbours and their distance in Å.
Fractional positions:
K 0.0000 0.5000 0.0000  2 Al 3.29
K 0.5000 0.0000 0.0000  2 Al 3.29
Al 0.0000 0.0000 0.0000  2 Cd 2.51
Cd 0.0000 0.0000 0.5000  2 Al 2.51
B 0.5000 0.5000 0.5000  8 K 4.14

Calculated values
- Calculated total energy: -1.503 eV per atom
- Calculated formation energy: 1.203 eV per atom


Record 3
A plane-wave DFT calculation with PBE was carried out for an optimized crystal structure of Al2CdBN.

Cell lengths 5.2565, 5.2565, 3.9277 Å; angles 90.00, 90.00, 90.00 degrees
Last column: nearest neighbours and their distance in Å.
Fractional positions:
Al 0.0000 0.5000 0.0000  2 Cd 2.63
Al 0.5000 0.0000 0.0000  2 Cd 2.63
Cd 0.0000 0.0000 0.0000  2 N 1.96
B 0.5000 0.5000 0.5000  8 Al 3.28
N 0.0000 0.0000 0.5000  2 Cd 1.96

Calculated values
- Energy above the lowest structure with this stoichiometry: 31.39 kcal/mol of atoms
- Calculated total energy: -2.652 eV per atom


Record 4
A plane-wave DFT calculation with PBE was carried out for an optimized crystal structure of Al2CdBN.

Cell lengths 3.7984, 3.7984, 4.9034 Å; angles 90.00, 90.00, 90.00 degrees
Last column: nearest neighbours and their distance in Å.
Fractional positions:
Al 0.0000 0.5000 0.0000  2 N 1.90
Al 0.5000 0.0000 0.0000  2 N 1.90
Cd 0.0000 0.0000 0.5000  4 B 2.69
B 0.5000 0.5000 0.5000  2 N 2.45, 4 Cd 2.69
N 0.5000 0.5000 0.0000  4 Al 1.90

Calculated values
- Energy above the lowest structure with this stoichiometry: 0.00 kcal/mol of atoms
- Calculated total energy: -4.013 eV per atom


Record 5
A plane-wave DFT calculation with PBE was carried out for an optimized crystal structure of Al2CdBO6.

Cell lengths 6.7209, 6.7209, 5.5152 Å; angles 105.26, 105.26, 100.78 degrees
Last column: nearest neighbours and their distance in Å.
Fractional positions:
Al 0.0491 0.2244 0.1487  4 O 1.79-1.85
Al 0.2244 0.0491 0.6487  4 O 1.79-1.85
Al 0.7756 0.9509 0.3513  4 O 1.79-1.85
Al 0.9509 0.7756 0.8513  4 O 1.79-1.85
Cd 0.3948 0.6052 0.7500  6 O 2.30-2.42
Cd 0.6052 0.3948 0.2500  6 O 2.30-2.42
B 0.3157 0.6843 0.2500  4 O 1.47-1.51
B 0.6843 0.3157 0.7500  4 O 1.47-1.51
O 0.0661 0.1798 0.4616  2 Al 1.79-1.81
O 0.1604 0.6709 0.9990  1 B 1.47
O 0.1798 0.0661 0.9616  2 Al 1.79-1.81
O 0.2762 0.4701 0.2933  1 B 1.51
O 0.3291 0.8396 0.5010  1 B 1.47
O 0.4701 0.2762 0.7933  1 B 1.51
O 0.5299 0.7238 0.2067  1 B 1.51
O 0.6709 0.1604 0.4990  1 B 1.47
O 0.7238 0.5299 0.7067  1 B 1.51
O 0.8202 0.9339 0.0384  2 Al 1.79-1.81
O 0.8396 0.3291 0.0010  1 B 1.47
O 0.9339 0.8202 0.5384  2 Al 1.79-1.81

Calculated values
- Calculated total energy: -6.684 eV per atom


Record 6
A plane-wave DFT calculation with PBE was carried out for an optimized crystal structure of AlCd2B2O6.

Cell lengths 4.8685, 4.8685, 6.6618 Å; angles 90.00, 90.00, 120.00 degrees
Last column: nearest neighbours and their distance in Å.
Fractional positions:
Al 0.0000 0.0000 0.0000  6 O 1.93
Cd 0.3333 0.6667 0.6733  3 O 2.25
Cd 0.6667 0.3333 0.3267  3 O 2.25
B 0.3333 0.6667 0.1641  3 O 1.38
B 0.6667 0.3333 0.8359  3 O 1.38
O 0.0871 0.3556 0.1699  1 B 1.38
O 0.2685 0.9129 0.1699  1 B 1.38
O 0.3556 0.2685 0.8301  1 B 1.38
O 0.6444 0.7315 0.1699  1 B 1.38
O 0.7315 0.0871 0.8301  1 B 1.38
O 0.9129 0.6444 0.8301  1 B 1.38

Calculated values
- Calculated total energy: -6.403 eV per atom


Q: What is the calculated total energy in the fourth record?
A: -4.013 eV per atom